# 1
The following is a PBE calculation of a geometry-optimized TcAgSe4 structure, from Alexandria.

Cell lengths 5.6199, 7.0382, 7.0427 Å; angles 106.89, 99.04, 98.99 degrees
Atoms (fractional coordinates):
Tc: 0.7500 0.9432 0.0568
Tc: 0.2500 0.0568 0.9432
Ag: 0.2500 0.4467 0.5533
Ag: 0.7499 0.5533 0.4467
Se: 0.9962 0.2879 0.1343
Se: 0.0094 0.8735 0.3503
Se: 0.5036 0.8659 0.7123
Se: 0.4963 0.1341 0.2877
Se: 0.0038 0.7121 0.8657
Se: 0.5090 0.3506 0.8738
Se: 0.4910 0.6494 0.1262
Se: 0.9906 0.1265 0.6497

Properties
M_tot = 0.00 μB/cell
formation energy without anion corrections = -0.12 eV per atom
volume = 21.43 A^3/atom

=====

# 2
The following is a PBE calculation of a geometry-optimized TcAgSe2 structure, from Alexandria.

Cell lengths 8.2356, 3.8317, 3.8317 Å; angles 130.92, 74.81, 105.19 degrees
Atoms (fractional coordinates):
Se: 0.8228 0.6399 0.3601
Se: 0.1772 0.3601 0.6399
Tc: 0.0000 0.0000 0.0000
Ag: 0.5000 0.5000 0.5000

Properties
M_tot = 0.00 μB/cell
formation energy without anion corrections = -0.05 eV per atom
volume = 21.87 A^3/atom

=====

# 3
The following is a PBE calculation of a geometry-optimized TcAg2Se structure, from Alexandria.

Cell lengths 4.9389, 4.9389, 4.9389 Å; angles 129.75, 129.75, 73.81 degrees
Each line ends with the local moment (μB).
Atoms (fractional coordinates):
Ag: 0.0000 0.0000 0.0000  0.03
Ag: 0.2500 0.7500 0.5000  0.00
Se: 0.5000 0.5000 0.0000  -0.04
Tc: 0.7500 0.2500 0.5000  1.34

Properties
M_tot = 1.41 μB/cell
formation energy without anion corrections = 0.59 eV per atom
volume = 17.37 A^3/atom

=====

# 4
The following is a PBE calculation of a geometry-optimized TcAg2Se structure, from Alexandria.

Cell lengths 3.1782, 4.4471, 4.9870 Å; angles 90.00, 90.00, 90.00 degrees
Each line ends with the local moment (μB).
Atoms (fractional coordinates):
Ag: 0.0000 0.0000 0.0000  0.02
Ag: 0.5000 0.5000 0.0000  0.03
Se: 0.5000 0.0000 0.5000  0.04
Tc: 0.0000 0.5000 0.5000  1.75

Properties
M_tot = 2.03 μB/cell
formation energy without anion corrections = 0.49 eV per atom
volume = 17.62 A^3/atom

=====

# 5
The following is a PBE calculation of a geometry-optimized TcAgSe4 structure, from Alexandria.

Cell lengths 5.6902, 5.6902, 5.6902 Å; angles 60.00, 60.00, 60.00 degrees
Each line ends with the local moment (μB).
Atoms (fractional coordinates):
Tc: 0.7500 0.7500 0.7500  3.50
Ag: 0.0000 0.0000 0.0000  -0.02
Se: 0.8754 0.3749 0.3749  0.09
Se: 0.3749 0.3749 0.8754  0.09
Se: 0.3749 0.8754 0.3749  0.09
Se: 0.3749 0.3749 0.3749  0.09

Properties
M_tot = 4.39 μB/cell
formation energy without anion corrections = 0.97 eV per atom
volume = 21.71 A^3/atom

=====

# 6
The following is a PBE calculation of a geometry-optimized TcAgSe2 structure, from Alexandria.

Cell lengths 7.7464, 4.3747, 5.9902 Å; angles 99.39, 113.77, 95.65 degrees
Atoms (fractional coordinates):
Ag: 0.1359 0.4583 0.4595
Ag: 0.6473 0.2679 0.0515
Tc: 0.9939 0.2462 0.8405
Tc: 0.9475 0.8675 0.0414
Se: 0.2465 0.6784 0.1478
Se: 0.8152 0.9290 0.3690
Se: 0.7005 0.4865 0.6982
Se: 0.2735 0.0676 0.7674

Properties
M_tot = 0.00 μB/cell
formation energy without anion corrections = -0.10 eV per atom
volume = 22.53 A^3/atom

=====

# 7
The following is a PBE calculation of a geometry-optimized TcAg2Se structure, from Alexandria.

Cell lengths 2.7565, 2.7565, 9.4562 Å; angles 90.00, 90.00, 90.00 degrees
Atoms (fractional coordinates):
Ag: 0.0000 0.0000 0.9814
Ag: 0.0000 0.0000 0.5186
Se: 0.5000 0.5000 0.2500
Tc: 0.5000 0.5000 0.7500

Properties
M_tot = 0.00 μB/cell
formation energy without anion corrections = 0.49 eV per atom
volume = 17.96 A^3/atom

=====

# 8
The following is a PBE calculation of a geometry-optimized TcAgSe2 structure, from Alexandria.

Cell lengths 5.8394, 5.8394, 7.0999 Å; angles 65.72, 65.72, 90.00 degrees
Atoms (fractional coordinates):
Se: 0.5856 0.1250 0.2500
Se: 0.1644 0.6250 0.2500
Se: 0.3750 0.4144 0.7500
Se: 0.8750 0.8356 0.7500
Tc: 0.5000 0.5000 0.0000
Tc: 0.2500 0.7500 0.5000
Ag: 0.0000 0.0000 0.0000
Ag: 0.7500 0.2500 0.5000

Properties
M_tot = 0.00 μB/cell
formation energy without anion corrections = 0.07 eV per atom
volume = 24.62 A^3/atom

=====

> Number 6 is which compound?

TcAgSe2

=====

> M_tot of number 1 (TcAgSe4)?

0.00 μB/cell

=====

> formation energy without anion corrections of number 4 (TcAg2Se)?

0.49 eV per atom

=====

> What is the formula in the seventh record?

TcAg2Se